The following is a PBE+U calculation of crystalline SrAlNiO3 at its relaxed geometry, from Alexandria.

Lattice parameters (Å, degrees): 6.082 6.082 5.223 90.00 90.00 125.92
Positions (direct):
1 Sr 0.244 0.756 0.750
2 Sr 0.756 0.244 0.250
3 Al 0.447 0.553 0.250
4 Al 0.553 0.447 0.750
5 Ni 0.028 0.972 0.250
6 Ni 0.972 0.028 0.750
7 O 0.282 0.282 0.000
8 O 0.282 0.282 0.500
9 O 0.282 0.718 0.250
10 O 0.718 0.282 0.750
11 O 0.718 0.718 0.000
12 O 0.718 0.718 0.500

## Properties
Total DFT energy (no corrections) (Ry per atom): -0.43607